InSb2Pt, optimized geometry, DFT PBE; E_tot = -34.684 eV/cell; space group = No. 122; N(E_F) = 2.7 states/eV/f.u.; raw formation energy = -1.8 kcal/mol of atoms
1.0
6.1061 0.0000 0.0000
0.0000 6.1061 0.0000
3.0530 3.0530 6.7856
In Sb Pt
2 4 2
direct
0.2500 0.7500 0.5000 In
0.5000 0.5000 0.0000 In
0.3750 0.3268 0.7500 Sb
0.8750 0.9232 0.7500 Sb
0.6732 0.1250 0.2500 Sb
0.0768 0.6250 0.2500 Sb
0.0000 0.0000 0.0000 Pt
0.7500 0.2500 0.5000 Pt

CsNa2Hg3, optimized geometry, DFT PBE; E_tot = -10.634 eV/cell; E above lowest polymorph = 0.067 eV per atom; space group = No. 139; N(E_F) = 2.9 states/eV/f.u.; calculated formation energy = -0.1533 eV per atom
1.0
5.1846 0.0000 0.0000
0.0000 5.1846 0.0000
-2.5923 -2.5923 16.6249
Hg Na Cs
6 4 2
direct
0.9555 0.4555 0.9110 Hg
0.4555 0.9555 0.9110 Hg
0.6909 0.6909 0.3817 Hg
0.0445 0.5445 0.0890 Hg
0.3091 0.3091 0.6183 Hg
0.5445 0.0445 0.0890 Hg
0.4045 0.4045 0.8090 Na
0.5955 0.5955 0.1910 Na
0.7500 0.2500 0.5000 Na
0.2500 0.7500 0.5000 Na
0.8562 0.8562 0.7124 Cs
0.1438 0.1438 0.2876 Cs

SrNi2Rh, optimized geometry, DFT PBE; E_tot = -17.617 eV/cell; E above lowest polymorph = 0.854 eV per atom; space group = No. 166; N(E_F) = 5.7 states/eV/f.u.; calculated formation energy = 0.7446 eV per atom
1.0
9.0370 -0.0180 -0.0106
8.5626 2.8894 -0.0106
8.5626 1.3970 2.5292
Ni Sr Rh
2 1 1
direct
0.5104 0.5104 0.5104 Ni
0.9896 0.9896 0.9896 Ni
0.7500 0.7500 0.7500 Sr
0.2500 0.2500 0.2500 Rh

NaY2BeAl, optimized geometry, DFT PBE; E_tot = -17.471 eV/cell; space group = No. 123; N(E_F) = 7.3 states/eV/f.u.; calculated formation energy = 0.8490 eV per atom
1.0
-2.6525 4.5787 -1.6831
0.8122 -1.3667 -4.9976
-4.8019 -2.7883 -0.0179
Al Y Be Na
1 2 1 1
direct
0.0000 0.0000 0.0000 Al
0.5000 0.0000 0.0000 Y
0.0000 0.0000 0.5000 Y
0.5000 0.5000 0.5000 Be
0.0000 0.5000 0.0000 Na

Q: What is the N(E_F) in the third record?
A: 5.7 states/eV/f.u.

Q: Among the records above, which one has the lowest N(E_F)?
A: InSb2Pt

Copy entry 1 word for word.
InSb2Pt, optimized geometry, DFT PBE; E_tot = -34.684 eV/cell; space group = No. 122; N(E_F) = 2.7 states/eV/f.u.; raw formation energy = -1.8 kcal/mol of atoms
1.0
6.1061 0.0000 0.0000
0.0000 6.1061 0.0000
3.0530 3.0530 6.7856
In Sb Pt
2 4 2
direct
0.2500 0.7500 0.5000 In
0.5000 0.5000 0.0000 In
0.3750 0.3268 0.7500 Sb
0.8750 0.9232 0.7500 Sb
0.6732 0.1250 0.2500 Sb
0.0768 0.6250 0.2500 Sb
0.0000 0.0000 0.0000 Pt
0.7500 0.2500 0.5000 Pt